## Na3Tl3CdF8 (GGA-PBE)

Data for crystalline Na3Tl3CdF8 at its relaxed geometry.

## Properties
Total magnetization   0.0 μB/cell
Crystal system   trigonal
Formation energy (no corrections)   -2.2056 eV/atom

Cell: 7.0451 7.0458 7.5585 Å, 117.79 90.00 120.00°
Last column: nearest neighbours and their distance in Å.
Atoms (fractional coordinates):
Na  0.5000  0.0000  0.5000  6 F 2.39-2.42
Na  0.5000  0.5000  0.5000  6 F 2.39-2.42
Na  0.0000  0.5000  0.5000  6 F 2.39-2.42
Tl  0.0000  0.0000  0.0000  6 F 2.79-2.80
Tl  0.0000  0.5000  0.0000  6 F 2.79-2.80
Tl  0.5000  0.5000  0.0000  6 F 2.79-2.80
Cd  0.0000  0.0000  0.5000  6 F 2.28
F  0.2675  0.5350  0.3025  3 Na 2.39
F  0.7325  0.4650  0.6975  3 Na 2.39
F  0.7784  0.5569  0.3090  1 Cd 2.28, 2 Na 2.42
F  0.2216  0.4431  0.6910  1 Cd 2.28, 2 Na 2.42
F  0.7784  0.0306  0.3090  1 Cd 2.28, 2 Na 2.42
F  0.2216  0.9694  0.6910  1 Cd 2.28, 2 Na 2.42
F  0.2521  0.0306  0.3090  1 Cd 2.28, 2 Na 2.42
F  0.7479  0.9694  0.6910  1 Cd 2.28, 2 Na 2.42